(one)
Computed, not measured: an optimized crystal structure of BaAgBr at the PBE level of DFT.

a = 4.7737 Å, b = 5.9205 Å, c = 10.7018 Å
α = 90.00°, β = 90.00°, γ = 113.78°
Atoms (fractional coordinates):
Ag: 0.5458 0.0917 0.0000
Ag: 0.0612 0.1224 0.5000
Ba: 0.6660 0.3320 0.2776
Ba: 0.6660 0.3320 0.7224
Br: 0.3638 0.7276 0.2692
Br: 0.3638 0.7276 0.7308

## Properties
Spin magnetization, μB/atom: 0.000
Mass density, g/cm3: 3.901
Crystal system: orthorhombic
Space group: Amm2



(two)
Computed, not measured: an optimized crystal structure of BaAgBr at the PBE level of DFT.

a = 6.2796 Å, b = 6.2796 Å, c = 4.2717 Å
α = 70.11°, β = 70.11°, γ = 39.77°
Atoms (fractional coordinates):
Ba: 0.3305 0.3304 0.6695
Br: 0.6757 0.6756 0.3243
Ag: 0.9939 0.9939 0.0061

## Properties
Spin magnetization, μB/atom: 0.000
Mass density, g/cm3: 5.374
Crystal system: tetragonal
Space group: I4mm



Stability verdict: (two), ahead by 66 meV/atom



(one)
Computed, not measured: an optimized crystal structure of BaAgBr2 at the PBE level of DFT.

a = 4.1322 Å, b = 4.1322 Å, c = 7.6242 Å
α = 90.00°, β = 90.00°, γ = 90.04°
Atoms (fractional coordinates):
Br: 0.0000 0.0000 0.5193
Br: 0.0000 0.0000 0.9807
Ag: 0.5000 0.5000 0.2500
Ba: 0.5000 0.5000 0.7500

## Properties
Spin magnetization, μB/atom: 0.000
Mass density, g/cm3: 5.166
Crystal system: tetragonal
Space group: P4/mmm
DOS(E_F), states/eV/cell: 3.07



(two)
Computed, not measured: an optimized crystal structure of BaAgBr2 at the PBE level of DFT.

a = 4.6190 Å, b = 4.6190 Å, c = 6.3158 Å
α = 90.00°, β = 90.00°, γ = 90.00°
Atoms (fractional coordinates):
Br: 0.5000 0.5000 0.3059
Br: 0.0000 0.0000 0.9570
Ag: 0.0000 0.0000 0.4376
Ba: 0.5000 0.5000 0.7996

## Properties
Spin magnetization, μB/atom: 0.000
Mass density, g/cm3: 4.991
Crystal system: tetragonal
Space group: P4mm
DOS(E_F), states/eV/cell: 2.29



Stability verdict: (two), ahead by 43 meV/atom



(one)
Computed, not measured: an optimized crystal structure of BaAgBr2 at the PBE level of DFT.

a = 4.7132 Å, b = 4.5837 Å, c = 6.4141 Å
α = 69.09°, β = 90.00°, γ = 90.00°
Atoms (fractional coordinates):
Ba: 0.5000 0.5481 0.8037
Br: 0.5000 0.2526 0.3869
Br: 0.0000 0.9905 0.9177
Ag: 0.0000 0.7088 0.3918

## Properties
Spin magnetization, μB/atom: 0.000
Mass density, g/cm3: 5.196
Crystal system: monoclinic
Space group: Pm
DOS(E_F), states/eV/cell: 1.77



(two)
Computed, not measured: an optimized crystal structure of BaAgBr2 at the PBE level of DFT.

a = 6.6012 Å, b = 6.6012 Å, c = 6.6012 Å
α = 138.91°, β = 138.91°, γ = 59.51°
Atoms (fractional coordinates):
Ag: 0.5000 0.5000 0.0000
Br: 0.2500 0.7500 0.5000
Br: 0.0000 0.0000 0.0000
Ba: 0.7500 0.2500 0.5000

## Properties
Spin magnetization, μB/atom: 0.000
Mass density, g/cm3: 5.467
Crystal system: tetragonal
Space group: I-4m2
DOS(E_F), states/eV/cell: 1.59



Stability verdict: (one), ahead by 74 meV/atom



(one)
Computed, not measured: an optimized crystal structure of BaAgBr4 at the PBE level of DFT.

a = 5.2471 Å, b = 9.6348 Å, c = 10.0937 Å
α = 90.00°, β = 90.00°, γ = 122.97°
Atoms (fractional coordinates):
Ba: 0.7609 0.5119 0.7500
Ba: 0.2391 0.4881 0.2500
Br: 0.5222 0.7732 0.7500
Br: 0.0986 0.3493 0.5682
Br: 0.6596 0.9087 0.2500
Br: 0.9014 0.6507 0.4318
Br: 0.9014 0.6507 0.0682
Br: 0.3404 0.0913 0.7500
Br: 0.4778 0.2268 0.2500
Br: 0.0986 0.3493 0.9318
Ag: 0.8409 0.0918 0.7500
Ag: 0.1591 0.9082 0.2500

## Properties
Spin magnetization, μB/atom: 0.000
Mass density, g/cm3: 4.382
Crystal system: monoclinic
Space group: P2_1/m
DOS(E_F), states/eV/cell: 3.65



(two)
Computed, not measured: an optimized crystal structure of BaAgBr4 at the PBE level of DFT.

a = 6.7257 Å, b = 6.7257 Å, c = 6.7257 Å
α = 111.71°, β = 111.71°, γ = 105.08°
Atoms (fractional coordinates):
Br: 0.2548 0.7445 0.0014
Br: 0.7467 0.7452 0.4897
Br: 0.2555 0.2570 0.5103
Br: 0.7430 0.2534 0.9986
Ba: 0.7500 0.2500 0.5000
Ag: 0.5000 0.5000 0.0000

## Properties
Spin magnetization, μB/atom: 0.000
Mass density, g/cm3: 4.022
Crystal system: tetragonal
Space group: I-4
DOS(E_F), states/eV/cell: 3.00



(three)
Computed, not measured: an optimized crystal structure of BaAgBr4 at the PBE level of DFT.

a = 6.5325 Å, b = 6.5325 Å, c = 6.5325 Å
α = 60.00°, β = 60.00°, γ = 60.00°
Each line ends with the local moment (μB).
Atoms (fractional coordinates):
Br: 0.3756 0.8731 0.3756  0.32
Br: 0.3756 0.3756 0.8731  0.32
Br: 0.3756 0.3756 0.3756  0.32
Br: 0.8731 0.3756 0.3756  0.32
Ba: 0.0000 0.0000 0.0000  0.01
Ag: 0.7500 0.7500 0.7500  0.06

## Properties
Spin magnetization, μB/atom: 0.299
Mass density, g/cm3: 4.758
Crystal system: cubic
Space group: F-43m
DOS(E_F), states/eV/cell: 5.57



Stability verdict: (one), ahead by 14 meV/atom



(one)
Computed, not measured: an optimized crystal structure of BaAg2Br4 at the PBE level of DFT.

a = 7.1236 Å, b = 6.6612 Å, c = 6.6612 Å
α = 73.39°, β = 57.68°, γ = 57.68°
Atoms (fractional coordinates):
Br: 0.9352 0.1296 0.5000
Br: 0.5648 0.8704 0.5000
Br: 0.0648 0.5000 0.8704
Br: 0.4352 0.5000 0.1296
Ba: 0.0000 0.0000 0.0000
Ag: 0.5000 0.5000 0.5000
Ag: 0.0000 0.5000 0.5000

## Properties
Spin magnetization, μB/atom: 0.000
Mass density, g/cm3: 4.949
Crystal system: tetragonal
Space group: I422
DOS(E_F), states/eV/cell: 0.00



(two)
Computed, not measured: an optimized crystal structure of BaAg2Br4 at the PBE level of DFT.

a = 8.5038 Å, b = 8.5600 Å, c = 8.5637 Å
α = 75.72°, β = 60.23°, γ = 60.22°
Atoms (fractional coordinates):
Br: 0.2174 0.6818 0.7113
Br: 0.6105 0.3182 0.2887
Br: 0.1396 0.2110 0.1820
Br: 0.6787 0.1818 0.7887
Br: 0.0715 0.7110 0.3181
Br: 0.1006 0.2890 0.6819
Br: 0.6492 0.8182 0.2113
Br: 0.5326 0.7890 0.8180
Ba: 0.7499 0.5000 0.5000
Ba: 0.0000 0.0000 0.0000
Ag: 0.8751 0.8478 0.6519
Ag: 0.2771 0.3478 0.8480
Ag: 0.3748 0.1522 0.3481
Ag: 0.4729 0.6522 0.1520

## Properties
Spin magnetization, μB/atom: 0.000
Mass density, g/cm3: 4.757
Crystal system: tetragonal
Space group: I-42d
DOS(E_F), states/eV/cell: 0.00



Stability verdict: (two), ahead by 11 meV/atom



(one)
Computed, not measured: an optimized crystal structure of BaAg3Br at the PBE level of DFT.

a = 5.4589 Å, b = 5.4589 Å, c = 5.4589 Å
α = 90.00°, β = 90.00°, γ = 90.00°
Atoms (fractional coordinates):
Ba: 0.5000 0.5000 0.5000
Ag: 0.0000 0.5000 0.0000
Ag: 0.0000 0.0000 0.5000
Ag: 0.5000 0.0000 0.0000
Br: 0.0000 0.0000 0.0000

## Properties
Spin magnetization, μB/atom: 0.000
Mass density, g/cm3: 5.521
Crystal system: cubic
Space group: Pm-3m
DOS(E_F), states/eV/cell: 4.01



(two)
Computed, not measured: an optimized crystal structure of BaAg3Br at the PBE level of DFT.

a = 6.1975 Å, b = 6.1975 Å, c = 6.1975 Å
α = 90.00°, β = 90.00°, γ = 90.00°
Atoms (fractional coordinates):
Br: 0.5000 0.5000 0.5000
Ag: 0.0000 0.5000 0.0000
Ag: 0.0000 0.0000 0.5000
Ag: 0.5000 0.0000 0.0000
Ba: 0.0000 0.0000 0.0000

## Properties
Spin magnetization, μB/atom: 0.000
Mass density, g/cm3: 3.773
Crystal system: cubic
Space group: Pm-3m
DOS(E_F), states/eV/cell: 8.13



Stability verdict: (one), ahead by 509 meV/atom



(one)
Computed, not measured: an optimized crystal structure of Ba2AgBr6 at the PBE level of DFT.

a = 6.9862 Å, b = 8.8562 Å, c = 10.1088 Å
α = 90.00°, β = 89.41°, γ = 90.00°
Each line ends with the local moment (μB).
Atoms (fractional coordinates):
Ba: 0.5514 0.8802 0.2380  0.00
Ba: 0.0514 0.6198 0.7380  0.00
Ba: 0.9486 0.3802 0.2620  0.00
Ba: 0.4486 0.1198 0.7620  0.00
Br: 0.0987 0.0181 0.2492  0.13
Br: 0.6702 0.1757 0.0543  0.02
Br: 0.9013 0.9819 0.7508  0.13
Br: 0.8298 0.6757 0.4457  0.02
Br: 0.6753 0.1536 0.4517  0.12
Br: 0.5987 0.4819 0.7492  0.13
Br: 0.1702 0.3243 0.5543  0.02
Br: 0.3247 0.8464 0.5483  0.12
Br: 0.8247 0.6536 0.0483  0.12
Br: 0.3298 0.8243 0.9457  0.02
Br: 0.1753 0.3464 0.9517  0.12
Br: 0.4013 0.5181 0.2508  0.13
Ag: 0.5000 0.5000 0.0000  0.26
Ag: 0.0000 0.0000 0.5000  0.26

## Properties
Spin magnetization, μB/atom: 0.105
Mass density, g/cm3: 4.577
Crystal system: monoclinic
Space group: P2_1/c
DOS(E_F), states/eV/cell: 5.95



(two)
Computed, not measured: an optimized crystal structure of Ba2AgBr6 at the PBE level of DFT.

a = 7.3012 Å, b = 7.3012 Å, c = 13.9408 Å
α = 90.00°, β = 90.00°, γ = 90.00°
Each line ends with the local moment (μB).
Atoms (fractional coordinates):
Br: 0.6808 0.6808 0.3579  0.11
Br: 0.1808 0.8192 0.1421  0.11
Br: 0.2104 0.7896 0.5000  0.04
Br: 0.6808 0.6808 0.6421  0.11
Br: 0.3192 0.3192 0.3579  0.11
Br: 0.1808 0.8192 0.8579  0.11
Br: 0.8192 0.1808 0.1421  0.11
Br: 0.7104 0.7104 0.0000  0.04
Br: 0.3192 0.3192 0.6421  0.11
Br: 0.8192 0.1808 0.8579  0.11
Br: 0.7896 0.2104 0.5000  0.04
Br: 0.2896 0.2896 0.0000  0.04
Ba: 0.5000 0.5000 0.1652  0.01
Ba: 0.0000 0.0000 0.3348  0.01
Ba: 0.0000 0.0000 0.6652  0.01
Ba: 0.5000 0.5000 0.8348  0.01
Ag: 0.0000 0.0000 0.0000  0.28
Ag: 0.5000 0.5000 0.5000  0.28

## Properties
Spin magnetization, μB/atom: 0.111
Mass density, g/cm3: 3.852
Crystal system: tetragonal
Space group: P4_2/mnm
DOS(E_F), states/eV/cell: 16.60



Stability verdict: (one), ahead by 103 meV/atom



(one)
Computed, not measured: an optimized crystal structure of Ba2Ag2C at the PBE level of DFT.

a = 8.2330 Å, b = 8.2330 Å, c = 5.0063 Å
α = 90.00°, β = 90.00°, γ = 90.00°
Each line ends with the local moment (μB).
Atoms (fractional coordinates):
Ag: 0.1185 0.6185 0.5000  0.01
Ag: 0.6185 0.8815 0.5000  0.02
Ag: 0.3815 0.1185 0.5000  0.02
Ag: 0.8815 0.3815 0.5000  0.01
Ba: 0.1853 0.3147 0.0000  0.05
Ba: 0.8147 0.6853 0.0000  0.05
Ba: 0.3147 0.8147 0.0000  0.04
Ba: 0.6853 0.1853 0.0000  0.04
C: 0.5000 0.5000 0.0000  0.86
C: 0.0000 0.0000 0.0000  0.86

## Properties
Spin magnetization, μB/atom: 0.407
Mass density, g/cm3: 4.917
Crystal system: tetragonal
Space group: P4/mbm
DOS(E_F), states/eV/cell: 4.35



(two)
Computed, not measured: an optimized crystal structure of Ba2Ag2C at the PBE level of DFT.

a = 3.7939 Å, b = 3.7939 Å, c = 9.8099 Å
α = 78.85°, β = 78.85°, γ = 90.00°
Atoms (fractional coordinates):
C: 0.0000 0.0000 0.0000
Ag: 0.7500 0.2500 0.5000
Ag: 0.2500 0.7500 0.5000
Ba: 0.4131 0.4131 0.1739
Ba: 0.5869 0.5869 0.8261

## Properties
Spin magnetization, μB/atom: 0.002
Mass density, g/cm3: 6.143
Crystal system: tetragonal
Space group: I4/mmm
DOS(E_F), states/eV/cell: 3.68



Stability verdict: (two), ahead by 263 meV/atom